# 1
A plane-wave DFT calculation with SCAN was carried out for a PBEsol-optimized structure of KSc2As.

```
KSc2As
1.0
3.272 0.000 0.000
-1.636 2.834 0.000
0.000 0.000 35.779
K Sc As
3 6 3
Direct
0.000 0.000 0.000
0.333 0.667 0.667
0.667 0.333 0.333
0.000 0.000 0.427
0.000 0.000 0.573
0.333 0.667 0.094
0.333 0.667 0.239
0.667 0.333 0.761
0.667 0.333 0.906
0.000 0.000 0.500
0.333 0.667 0.167
0.667 0.333 0.833
```

Results
- energy relative to the elements (eV per atom) = 0.39
- mass density (Mg/m³) = 3.1
- total magnetization (μB per cell) = 2.4

=====

# 2
A plane-wave DFT calculation with SCAN was carried out for a PBEsol-optimized structure of K2ScAs.

```
K2ScAs
1.0
3.174 0.000 0.000
0.000 3.174 0.000
0.000 0.000 11.829
K Sc As
2 1 1
Direct
0.000 0.000 0.201
0.000 0.000 0.799
0.500 0.500 0.500
0.500 0.500 0.000
```

Results
- energy relative to the elements (eV per atom) = 0.22
- mass density (Mg/m³) = 2.8
- total magnetization (μB per cell) = 1.0

=====

# 3
A plane-wave DFT calculation with SCAN was carried out for a PBEsol-optimized structure of K2AsSe.

```
K2AsSe
1.0
6.114 0.000 0.000
0.000 6.114 0.000
0.000 0.000 2.851
K As Se
2 1 1
Direct
0.000 0.500 0.000
0.500 0.000 0.000
0.000 0.000 0.500
0.500 0.500 0.500
```

Results
- energy relative to the elements, uncorrected (kJ per mole of atoms) = -52.8
- mass density (Mg/m³) = 3.6
- total magnetization (μB per cell) = 0.0

=====

# 4
A plane-wave DFT calculation with SCAN was carried out for a PBEsol-optimized structure of K4As2Se5.

```
K4As2Se5
1.0
7.649 0.000 0.000
0.000 22.426 0.000
-5.146 0.000 8.176
K As Se
16 8 20
Direct
0.233 0.155 0.493
0.233 0.345 0.993
0.250 0.542 0.995
0.250 0.547 0.499
0.250 0.953 0.999
0.250 0.958 0.495
0.251 0.745 0.496
0.251 0.755 0.996
0.749 0.245 0.004
0.749 0.255 0.504
0.750 0.042 0.505
0.750 0.047 0.001
0.750 0.453 0.501
0.750 0.458 0.005
0.767 0.655 0.007
0.767 0.845 0.507
0.157 0.145 0.859
0.157 0.355 0.359
0.354 0.151 0.171
0.354 0.349 0.671
0.646 0.651 0.329
0.646 0.849 0.829
0.843 0.645 0.641
0.843 0.855 0.141
0.195 0.645 0.732
0.195 0.855 0.232
0.241 0.235 0.773
0.241 0.265 0.273
0.243 0.061 0.761
0.243 0.439 0.261
0.261 0.060 0.240
0.261 0.440 0.740
0.303 0.643 0.262
0.303 0.857 0.762
0.697 0.143 0.238
0.697 0.357 0.738
0.739 0.560 0.260
0.739 0.940 0.760
0.757 0.561 0.739
0.757 0.939 0.239
0.759 0.735 0.727
0.759 0.765 0.227
0.805 0.145 0.768
0.805 0.355 0.268
```

Results
- energy relative to the elements, uncorrected (kJ per mole of atoms) = -92.1
- mass density (Mg/m³) = 3.3
- total magnetization (μB per cell) = 0.0

=====

# 5
A plane-wave DFT calculation with SCAN was carried out for a PBEsol-optimized structure of KAs4Se.

```
KAs4Se
1.0
0.000 4.172 4.172
4.172 0.000 4.172
4.172 4.172 0.000
K As Se
1 4 1
Direct
0.000 0.000 0.000
0.183 0.606 0.606
0.606 0.183 0.606
0.606 0.606 0.183
0.606 0.606 0.606
0.250 0.250 0.250
```

Results
- energy relative to the elements, uncorrected (kJ per mole of atoms) = -0.3
- mass density (Mg/m³) = 4.8
- total magnetization (μB per cell) = 0.0

=====

# 6
A plane-wave DFT calculation with SCAN was carried out for a PBEsol-optimized structure of K3AsSe4.

```
K3AsSe4
1.0
9.280 0.000 0.000
0.000 10.865 0.000
0.000 0.000 9.896
K As Se
12 4 16
Direct
0.072 0.045 0.192
0.072 0.455 0.192
0.147 0.750 0.417
0.353 0.250 0.917
0.428 0.545 0.692
0.428 0.955 0.692
0.572 0.045 0.308
0.572 0.455 0.308
0.647 0.750 0.083
0.853 0.250 0.583
0.928 0.545 0.808
0.928 0.955 0.808
0.229 0.750 0.974
0.271 0.250 0.474
0.729 0.750 0.526
0.771 0.250 0.026
0.013 0.750 0.100
0.137 0.071 0.525
0.137 0.429 0.525
0.171 0.750 0.745
0.329 0.250 0.245
0.363 0.571 0.025
0.363 0.929 0.025
0.487 0.250 0.600
0.513 0.750 0.400
0.637 0.071 0.975
0.637 0.429 0.975
0.671 0.750 0.755
0.829 0.250 0.255
0.863 0.571 0.475
0.863 0.929 0.475
0.987 0.250 0.900
```

Results
- energy relative to the elements, uncorrected (kJ per mole of atoms) = -93.4
- mass density (Mg/m³) = 3.4
- total magnetization (μB per cell) = 0.0

=====

What is the mass density in the fifth record? 4.8 Mg/m³